## LiFeCO4 (PBE+U)

Data for a geometry-optimized LiFeCO4 structure.

abc: 6.968 5.478 10.658
angles: 90.00 101.29 90.00
Space group P2_1/c (No. 14)
Asymmetric unit:
Li (0.132, 0.099, 0.297)
Fe (0.489, 0.673, 0.654)
C (0.210, 0.655, 0.412)
O (0.075, 0.746, 0.328)
O (0.271, 0.072, 0.902)
O (0.291, 0.716, 0.011)
O (0.395, 0.061, 0.251)

Values from the calculation:
The density of states at the Fermi level comes out at 0.000 states/eV/atom. As for the magnetization: 20.0 Bohr magnetons per cell. Its relative energy among the computed polymorphs is 46.8 meV per atom.